Density functional theory data (PBE) for an optimized crystal structure of PuAgHg2.

## Properties
The calculation puts the formation energy at 0.1 eV/f.u. The value obtained for the magnetic moment is 1.4903 μB/atom. As for the volume: 24.83 Å³/atom.

Unit cell a=4.6184 b=4.6184 c=4.6571 alpha=90.00 beta=90.00 gamma=90.00
Element x y z (fractional)
Pu 0.0000 0.0000 0.0000
Ag 0.5000 0.5000 0.0000
Hg 0.0000 0.5000 0.5000
Hg 0.5000 0.0000 0.5000